Arrangement P

Ge2HBr: optimized geometry, PBE-GGA.

Calculated values
Magnetization in Bohr magnetons per cell: 0.000
Space-group type: Fm-3m (225)

Lattice parameters (Å, degrees): 4.7585 4.7585 4.7585 60.00 60.00 60.00
With the nearest neighbours (Å) after each atom.
Atoms (fractional coordinates):
Ge (0.2500, 0.2500, 0.2500)  4 H 2.91, 4 Br 2.91
Ge (0.7500, 0.7500, 0.7500)  4 Br 2.91, 4 H 2.91
H (0.0000, 0.0000, 0.0000)  8 Ge 2.91
Br (0.5000, 0.5000, 0.5000)  8 Ge 2.91

Arrangement Q

Ge2HBr: optimized geometry, PBE-GGA.

Calculated values
Magnetization in Bohr magnetons per cell: 0.000
Space-group type: I-42d (122)

Lattice parameters (Å, degrees): 7.6660 7.6660 7.6660 141.33 141.33 55.84
With the nearest neighbours (Å) after each atom.
Atoms (fractional coordinates):
Ge (0.3750, 0.2053, 0.3303)  2 H 2.16
Ge (0.7947, 0.1250, 0.1697)  2 H 2.16
Ge (0.8750, 0.0447, 0.6697)  2 H 2.16
Ge (0.9553, 0.6250, 0.8303)  2 H 2.16
H (0.0000, 0.0000, 0.0000)  4 Ge 2.16
H (0.7500, 0.2500, 0.5000)  4 Ge 2.16
Br (0.2500, 0.7500, 0.5000)  4 Ge 3.00
Br (0.5000, 0.5000, 0.0000)  4 Ge 3.00

Which of them is most stable, and which least? Most stable: arrangement Q; least stable: arrangement P.

Arrangement P

GeH2Br2: optimized geometry, PBE-GGA.

Calculated values
Magnetization in Bohr magnetons per cell: 1.971
Space-group type: P-3m1 (164)

Lattice parameters (Å, degrees): 4.0500 4.0500 10.6631 90.00 90.00 120.00
With the nearest neighbours (Å) after each atom.
Atoms (fractional coordinates):
Ge (0.0000, 0.0000, 0.0000)  6 Br 2.84
H (0.3333, 0.6667, 0.6256)  3 Br 3.33, 3 H 3.55
H (0.6667, 0.3333, 0.3744)  3 Br 3.33, 3 H 3.55
Br (0.3333, 0.6667, 0.1518)  3 Ge 2.84
Br (0.6667, 0.3333, 0.8482)  3 Ge 2.84

Arrangement Q

GeH2Br2: optimized geometry, PBE-GGA.

Calculated values
Magnetization in Bohr magnetons per cell: 0.000
Space-group type: C2/m (12)

Lattice parameters (Å, degrees): 4.5049 4.5049 7.3886 99.36 99.36 58.07
With the nearest neighbours (Å) after each atom.
Atoms (fractional coordinates):
Ge (0.0000, 0.0000, 0.0000)  4 H 2.22
H (0.4565, 0.4565, 0.9614)  1 H 0.81
H (0.5435, 0.5435, 0.0386)  1 H 0.81
Br (0.2060, 0.2060, 0.7502)  1 H 2.28
Br (0.7940, 0.7940, 0.2498)  1 H 2.28

Which of them is most stable, and which least? Most stable: arrangement Q; least stable: arrangement P.

Arrangement P

GeHSe2Br: optimized geometry, PBE-GGA.

Calculated values
Magnetization in Bohr magnetons per cell: 0.324
Space-group type: P4/mmm (123)

Lattice parameters (Å, degrees): 5.0222 5.0222 5.4308 90.00 90.00 90.00
With the nearest neighbours (Å) after each atom.
Atoms (fractional coordinates):
Ge (0.0000, 0.0000, 0.0000)  4 Se 2.51, 2 Br 2.72
H (0.5000, 0.5000, 0.5000)  4 Br 3.55, 8 Se 3.70
Se (0.0000, 0.5000, 0.0000)  2 Ge 2.51
Se (0.5000, 0.0000, 0.0000)  2 Ge 2.51
Br (0.0000, 0.0000, 0.5000)  2 Ge 2.72

Arrangement Q

GeHSe2Br: optimized geometry, PBE-GGA.

Calculated values
Magnetization in Bohr magnetons per cell: 0.000
Space-group type: P4/mmm (123)

Lattice parameters (Å, degrees): 4.0794 4.0794 5.9058 90.00 90.00 90.00
With the nearest neighbours (Å) after each atom.
Atoms (fractional coordinates):
Ge (0.0000, 0.0000, 0.0000)  4 Br 2.88
H (0.5000, 0.5000, 0.5000)  4 Se 2.04
Se (0.0000, 0.5000, 0.5000)  2 H 2.04
Se (0.5000, 0.0000, 0.5000)  2 H 2.04
Br (0.5000, 0.5000, 0.0000)  4 Ge 2.88, 2 H 2.95

Which of them is most stable, and which least? Most stable: arrangement Q; least stable: arrangement P.

Arrangement P

HfGe3Br: optimized geometry, PBE-GGA.

Calculated values
Magnetization in Bohr magnetons per cell: 0.000
Space-group type: Pm-3m (221)

Lattice parameters (Å, degrees): 5.2803 5.2803 5.2803 90.00 90.00 90.00
With the nearest neighbours (Å) after each atom.
Atoms (fractional coordinates):
Hf (0.0000, 0.0000, 0.0000)  6 Ge 2.64
Ge (0.0000, 0.0000, 0.5000)  2 Hf 2.64
Ge (0.0000, 0.5000, 0.0000)  2 Hf 2.64
Ge (0.5000, 0.0000, 0.0000)  2 Hf 2.64
Br (0.5000, 0.5000, 0.5000)  12 Ge 3.73

Arrangement Q

HfGe3Br: optimized geometry, PBE-GGA.

Calculated values
Magnetization in Bohr magnetons per cell: 0.000
Space-group type: Pm-3m (221)

Lattice parameters (Å, degrees): 4.9927 4.9927 4.9927 90.00 90.00 90.00
With the nearest neighbours (Å) after each atom.
Atoms (fractional coordinates):
Hf (0.0000, 0.0000, 0.0000)  12 Ge 3.53
Ge (0.0000, 0.5000, 0.5000)  2 Br 2.50
Ge (0.5000, 0.0000, 0.5000)  2 Br 2.50
Ge (0.5000, 0.5000, 0.0000)  2 Br 2.50
Br (0.5000, 0.5000, 0.5000)  6 Ge 2.50

Which of them is most stable, and which least? Most stable: arrangement P; least stable: arrangement Q.